# 1
The following is a DFT calculation (GGA-PBE) of crystalline PmDy4Mg2 at its relaxed geometry.

It has space group I4/mmm (No. 139), with a = 5.535 Å, b = 5.535 Å, c = 15.995 Å, α = 90.00°, β = 90.00° and γ = 90.00°. Symmetry generates all atoms from Pm at (0.000, 0.000, 0.000), Dy at (0.000, 0.000, 0.187), Dy at (0.000, 0.500, 0.000) and Mg at (0.000, 0.000, 0.388).

For the total energy, the calculation gives -3.093 eV/atom. The formation enthalpy at 0 K is 0.67 eV/atom. Its magnetization is 1.1 μB per formula unit.

---

# 2
The following is a DFT calculation (GGA-PBE) of crystalline PdPtPbO6 at its relaxed geometry.

It has space group P-31c (No. 163), with a = 5.3173 Å, b = 5.3173 Å, c = 9.4574 Å, α = 90.00°, β = 90.00° and γ = 120.00°. Symmetry generates all atoms from Pd at (0.3333, 0.6667, 0.2500), Pt at (0.3333, 0.6667, 0.7500), Pb at (0.0000, 0.0000, 0.0000) and O at (0.0018, 0.3679, 0.6338).

The calculation puts the uncorrected formation energy at -12.67 kcal/mol of atoms. For the total energy, the calculation gives -5.515 eV/atom. Its magnetization is 0.0 μB per formula unit.

---

# 3
The following is a DFT calculation (GGA-PBE) of crystalline CaCd2Cu at its relaxed geometry.

It has space group Pm (No. 6), with a = 3.550 Å, b = 4.389 Å, c = 6.139 Å, α = 90.00°, β = 106.62° and γ = 90.00°. Symmetry generates all atoms from Ca at (0.000, 0.000, 0.000), Cd at (0.272, 0.000, 0.542), Cd at (0.662, 0.500, 0.322) and Cu at (0.405, 0.500, 0.809).

For the total energy, the calculation gives -2.085 eV/atom. The formation enthalpy at 0 K is -0.10 eV/atom. Its magnetization is 0.0 μB per formula unit.

---

# 4
The following is a DFT calculation (GGA-PBE) of crystalline ZnCoNi2Ir at its relaxed geometry.

It has space group P4/mmm (No. 123), with a = 4.561 Å, b = 4.561 Å, c = 4.543 Å, α = 90.00°, β = 90.00° and γ = 90.00°. Symmetry generates all atoms from Zn at (0.000, 0.000, 0.000), Co at (0.500, 0.500, 0.000), Ni at (0.000, 0.500, 0.500) and Ir at (0.500, 0.500, 0.500).

For the total energy, the calculation gives -4.549 eV/atom. The formation enthalpy at 0 K is 1.21 eV/atom. Its magnetization is 3.9 μB per formula unit.

---

# 5
The following is a DFT calculation (GGA-PBE) of crystalline Th3HgRu2 at its relaxed geometry.

It has space group C2/m (No. 12), with a = 15.900 Å, b = 4.849 Å, c = 8.168 Å, α = 90.00°, β = 106.53° and γ = 90.00°. Symmetry generates all atoms from Th at (0.080, 0.000, 0.207), Th at (0.098, 0.500, 0.879), Th at (0.231, 0.000, 0.703), Hg at (0.096, 0.500, 0.473), Ru at (0.057, 0.000, 0.664) and Ru at (0.203, 0.000, 0.053).

For the total energy, the calculation gives -7.190 eV/atom. The formation enthalpy at 0 K is -0.34 eV/atom. Its magnetization is 0.0 μB per formula unit.

---

# 6
The following is a DFT calculation (GGA-PBE) of crystalline MoPdSe2N at its relaxed geometry.

It has space group P4/mmm (No. 123), with a = 5.122 Å, b = 5.122 Å, c = 3.686 Å, α = 90.00°, β = 90.00° and γ = 90.00°. Symmetry generates all atoms from Mo at (0.000, 0.000, 0.000), Pd at (0.500, 0.500, 0.500), Se at (0.000, 0.500, 0.500) and N at (0.500, 0.500, 0.000).

The calculation puts the uncorrected formation energy at 24.07 kcal/mol of atoms. For the total energy, the calculation gives -5.220 eV/atom. Its magnetization is 3.1 μB per formula unit.

---

# 7
The following is a DFT calculation (GGA-PBE) of crystalline Tl2InW at its relaxed geometry.

It has space group Pmm2 (No. 25), with a = 3.073 Å, b = 4.869 Å, c = 6.029 Å, α = 90.00°, β = 90.00° and γ = 90.00°. Symmetry generates all atoms from Tl at (0.000, 0.000, 0.000), Tl at (0.500, 0.500, 0.234), In at (0.500, 0.500, 0.706) and W at (0.000, 0.000, 0.514).

For the total energy, the calculation gives -4.308 eV/atom. The formation enthalpy at 0 K is 0.80 eV/atom. Its magnetization is 0.0 μB per formula unit.

---

# 8
The following is a DFT calculation (GGA-PBE) of crystalline PuMnCu at its relaxed geometry.

It has space group I4mm (No. 107), with a = 2.965 Å, b = 2.965 Å, c = 12.188 Å, α = 90.00°, β = 90.00° and γ = 90.00°. Symmetry generates all atoms from Pu at (0.000, 0.000, 0.000), Mn at (0.000, 0.000, 0.702) and Cu at (0.000, 0.000, 0.320).

For the total energy, the calculation gives -8.859 eV/atom. The formation enthalpy at 0 K is 0.34 eV/atom. Its magnetization is 9.2 μB per formula unit.